No. 1
{"formula": "BaLi2NpI8", "functional": "PBE-GGA", "state": "optimized geometry", "lattice": [[7.442, 0.000, 0.000], [-3.721, 6.445, 0.000], [0.000, 0.000, 10.252]], "species": ["Ba", "Li", "Li", "Np", "I", "I", "I", "I", "I", "I", "I", "I"], "frac_coords": [[0.000, 0.000, 0.000], [0.333, 0.667, 0.741], [0.667, 0.333, 0.259], [0.000, 0.000, 0.500], [0.028, 0.699, 0.318], [0.301, 0.329, 0.318], [0.329, 0.028, 0.682], [0.333, 0.667, 0.998], [0.667, 0.333, 0.002], [0.671, 0.972, 0.318], [0.699, 0.671, 0.682], [0.972, 0.301, 0.682]], "raw_formation_energy_mev_per_atom": -1062, "magmom_total_mub_per_fu": 3.0, "vol_a3_per_fu": 491.71, "rho_g_cm3": 4.7}

No. 2
{"formula": "CoReSb2", "functional": "PBE-GGA", "state": "optimized geometry", "lattice": [[0.000, 3.327, 3.327], [3.327, 0.000, 3.327], [3.327, 3.327, 0.000]], "species": ["Co", "Re", "Sb", "Sb"], "frac_coords": [[0.000, 0.000, 0.000], [0.750, 0.750, 0.750], [0.250, 0.250, 0.250], [0.500, 0.500, 0.500]], "raw_formation_energy_mev_per_atom": 975, "e_above_lowest_polymorph_mev_per_atom": 713.6, "magmom_total_mub_per_fu": 1.9, "vol_a3_per_fu": 73.67, "rho_g_cm3": 11.0}

No. 3
{"formula": "BaSr2PbO5", "functional": "PBE-GGA", "state": "optimized geometry", "lattice": [[-2.117, 3.097, 6.074], [2.117, -3.097, 6.074], [2.117, 3.097, -6.074]], "species": ["Ba", "Sr", "Sr", "Pb", "O", "O", "O", "O", "O"], "frac_coords": [[0.000, 0.000, 0.000], [0.286, 0.786, 0.500], [0.714, 0.214, 0.500], [0.500, 0.500, 0.000], [0.122, 0.366, 0.756], [0.390, 0.634, 0.756], [0.500, 0.000, 0.500], [0.610, 0.366, 0.244], [0.878, 0.634, 0.244]], "raw_formation_energy_mev_per_atom": -2128, "magmom_total_mub_per_fu": 0.0, "vol_a3_per_fu": 159.32, "rho_g_cm3": 6.3}

No. 4
{"formula": "Ce2VZn", "functional": "PBE-GGA", "state": "optimized geometry", "lattice": [[5.075, 0.000, 0.000], [0.000, 5.075, 0.000], [0.000, 0.000, 3.501]], "species": ["Ce", "Ce", "V", "Zn"], "frac_coords": [[0.000, 0.500, 0.000], [0.500, 0.000, 0.000], [0.000, 0.000, 0.500], [0.500, 0.500, 0.500]], "formation_enthalpy_0k_mev_per_atom": 118, "e_above_lowest_polymorph_mev_per_atom": 0.0, "magmom_total_mub_per_fu": 2.6, "vol_a3_per_fu": 90.16, "rho_g_cm3": 7.3}

No. 5
{"formula": "NaPm2Er3Se6", "functional": "PBE-GGA", "state": "optimized geometry", "lattice": [[9.023, -2.042, 0.000], [9.023, 2.042, 0.000], [-2.005, 0.000, 8.062]], "species": ["Na", "Pm", "Pm", "Er", "Er", "Er", "Se", "Se", "Se", "Se", "Se", "Se"], "frac_coords": [[0.000, 0.000, 0.000], [0.329, 0.329, 0.656], [0.671, 0.671, 0.344], [0.000, 0.000, 0.500], [0.334, 0.334, 0.172], [0.666, 0.666, 0.828], [0.161, 0.161, 0.592], [0.169, 0.169, 0.075], [0.498, 0.498, 0.256], [0.502, 0.502, 0.744], [0.831, 0.831, 0.925], [0.839, 0.839, 0.408]], "raw_formation_energy_mev_per_atom": -1755, "magmom_total_mub_per_fu": 0.0, "vol_a3_per_fu": 297.13, "rho_g_cm3": 7.2}

No. 6
{"formula": "ZnFePS2", "functional": "PBE-GGA", "state": "optimized geometry", "lattice": [[4.694, 0.000, 0.000], [0.000, 4.694, 0.000], [0.000, 0.000, 4.504]], "species": ["Zn", "Fe", "P", "S", "S"], "frac_coords": [[0.000, 0.000, 0.000], [0.500, 0.500, 0.500], [0.000, 0.000, 0.500], [0.000, 0.500, 0.000], [0.500, 0.000, 0.000]], "raw_formation_energy_mev_per_atom": 997, "e_above_lowest_polymorph_mev_per_atom": 564.9, "magmom_total_mub_per_fu": 3.2, "vol_a3_per_fu": 99.24, "rho_g_cm3": 3.6}

No. 7
{"formula": "Rb3Nd2MnTe6", "functional": "PBE-GGA", "state": "optimized geometry", "lattice": [[3.987, -6.708, 0.000], [3.987, 6.708, 0.000], [-2.774, 0.000, 8.532]], "species": ["Rb", "Rb", "Rb", "Nd", "Nd", "Mn", "Te", "Te", "Te", "Te", "Te", "Te"], "frac_coords": [[0.000, 0.000, 0.000], [0.325, 0.675, 0.000], [0.675, 0.325, 0.000], [0.162, 0.838, 0.500], [0.838, 0.162, 0.500], [0.500, 0.500, 0.500], [0.141, 0.440, 0.314], [0.244, 0.244, 0.713], [0.440, 0.141, 0.314], [0.560, 0.859, 0.686], [0.756, 0.756, 0.287], [0.859, 0.560, 0.686]], "raw_formation_energy_mev_per_atom": -1046, "magmom_total_mub_per_fu": 4.0, "vol_a3_per_fu": 456.34, "rho_g_cm3": 5.0}

No. 8
{"formula": "Tb2GaBr", "functional": "PBE-GGA", "state": "optimized geometry", "lattice": [[1.890, 1.091, 8.402], [-1.890, 1.091, 8.402], [0.000, -2.183, 8.402]], "species": ["Tb", "Tb", "Ga", "Br"], "frac_coords": [[0.244, 0.244, 0.244], [0.756, 0.756, 0.756], [0.500, 0.500, 0.500], [0.000, 0.000, 0.000]], "raw_formation_energy_mev_per_atom": -787, "e_above_lowest_polymorph_mev_per_atom": 0.0, "magmom_total_mub_per_fu": 0.0, "vol_a3_per_fu": 104.01, "rho_g_cm3": 7.5}

no.,total DFT energy (no corrections) (eV for the cell shown)
1,-43.831
2,-23.897
3,-52.939
4,-21.788
5,-66.479
6,-18.417
7,-53.010
8,-17.108